No. 1
Below is a relaxed Ag2PtAu crystal, with properties calculated at the GGA-PBEsol level.

Values from the calculation:
formation enthalpy at 0 K	-8	meV/atom
distance to the lowest polymorph of the same formula	0.034	eV/atom
calculated total energy	-4.39	eV per atom

Cell: 4.8997 4.8997 4.9415 Å, 99.43 99.43 33.50°
Atoms (fractional coordinates):
Ag (0.0000, 0.0000, 0.0000)
Ag (0.2467, 0.2467, 0.7517)
Pt (0.4986, 0.4986, 0.5000)
Au (0.7522, 0.7522, 0.2572)

=====

No. 2
Below is a relaxed ScCuHg crystal, with properties calculated at the GGA-PBEsol level.

Values from the calculation:
formation enthalpy at 0 K	-309	meV/atom
distance to the lowest polymorph of the same formula	0.000	eV/atom
calculated total energy	-4.14	eV per atom

Cell: 4.4620 4.4620 3.1051 Å, 90.00 90.00 120.00°
Atoms (fractional coordinates):
Sc (0.0000, 0.0000, 0.0000)
Cu (0.6667, 0.3333, 0.5000)
Hg (0.3333, 0.6667, 0.5000)

=====

No. 3
Below is a relaxed CrAsS2 crystal, with properties calculated at the GGA-PBEsol level.

Values from the calculation:
ΔE_f (raw)	263	meV/atom
calculated total energy	-5.77	eV per atom

Cell: 7.7034 7.7034 7.7034 Å, 27.43 27.43 27.43°
Atoms (fractional coordinates):
Cr (0.0000, 0.0000, 0.0000)
As (0.5000, 0.5000, 0.5000)
S (0.1031, 0.1031, 0.1031)
S (0.8969, 0.8969, 0.8969)

=====

No. 4
Below is a relaxed NdGeAu crystal, with properties calculated at the GGA-PBEsol level.

Values from the calculation:
formation enthalpy at 0 K	-877	meV/atom
calculated total energy	-5.55	eV per atom

Cell: 4.4554 4.4554 7.6006 Å, 90.00 90.00 120.00°
Atoms (fractional coordinates):
Nd (0.0000, 0.0000, 0.0000)
Nd (0.0000, 0.0000, 0.5000)
Ge (0.3333, 0.6667, 0.2847)
Ge (0.6667, 0.3333, 0.7847)
Au (0.3333, 0.6667, 0.7256)
Au (0.6667, 0.3333, 0.2256)

=====

No. 5
Below is a relaxed Sm9Ga5S21 crystal, with properties calculated at the GGA-PBEsol level.

Values from the calculation:
ΔE_f (raw)	-1617	meV/atom
calculated total energy	-6.03	eV per atom

Cell: 11.4350 11.4350 11.4350 Å, 94.75 94.75 94.75°
Atoms (fractional coordinates):
Sm (0.0129, 0.8013, 0.6398)
Sm (0.0221, 0.1783, 0.7996)
Sm (0.1211, 0.3447, 0.4950)
Sm (0.1313, 0.9862, 0.3601)
Sm (0.1783, 0.7996, 0.0221)
Sm (0.3205, 0.6996, 0.4743)
Sm (0.3447, 0.4950, 0.1211)
Sm (0.3601, 0.1313, 0.9862)
Sm (0.4560, 0.6785, 0.8309)
Sm (0.4743, 0.3205, 0.6996)
Sm (0.4950, 0.1211, 0.3447)
Sm (0.6398, 0.0129, 0.8013)
Sm (0.6785, 0.8309, 0.4560)
Sm (0.6996, 0.4743, 0.3205)
Sm (0.7996, 0.0221, 0.1783)
Sm (0.8013, 0.6398, 0.0129)
Sm (0.8309, 0.4560, 0.6785)
Sm (0.9862, 0.3601, 0.1313)
Ga (0.1020, 0.1020, 0.1020)
Ga (0.1289, 0.4719, 0.7953)
Ga (0.2941, 0.9670, 0.6353)
Ga (0.4042, 0.4042, 0.4042)
Ga (0.4719, 0.7953, 0.1289)
Ga (0.5997, 0.5997, 0.5997)
Ga (0.6353, 0.2941, 0.9670)
Ga (0.7953, 0.1289, 0.4719)
Ga (0.9067, 0.9067, 0.9067)
Ga (0.9670, 0.6353, 0.2941)
S (0.0055, 0.9071, 0.1399)
S (0.0337, 0.6009, 0.1149)
S (0.0362, 0.1872, 0.2875)
S (0.0603, 0.5465, 0.6285)
S (0.0906, 0.7567, 0.4195)
S (0.1149, 0.0337, 0.6009)
S (0.1399, 0.0055, 0.9071)
S (0.1872, 0.2875, 0.0362)
S (0.2121, 0.3097, 0.7262)
S (0.2349, 0.4823, 0.3386)
S (0.2543, 0.5905, 0.9216)
S (0.2537, 0.7863, 0.6979)
S (0.2875, 0.0362, 0.1872)
S (0.3097, 0.7262, 0.2121)
S (0.3386, 0.2349, 0.4823)
S (0.3568, 0.9377, 0.4513)
S (0.3916, 0.5275, 0.6240)
S (0.4089, 0.8788, 0.9626)
S (0.4195, 0.0906, 0.7567)
S (0.4513, 0.3568, 0.9377)
S (0.4823, 0.3386, 0.2349)
S (0.5275, 0.6240, 0.3916)
S (0.5465, 0.6285, 0.0603)
S (0.5503, 0.8005, 0.6534)
S (0.5905, 0.9216, 0.2543)
S (0.6009, 0.1149, 0.0337)
S (0.6240, 0.3916, 0.5275)
S (0.6285, 0.0603, 0.5465)
S (0.6534, 0.5503, 0.8005)
S (0.6979, 0.2537, 0.7863)
S (0.7263, 0.2121, 0.3097)
S (0.7258, 0.8628, 0.9728)
S (0.7567, 0.4195, 0.0906)
S (0.7863, 0.6979, 0.2537)
S (0.8005, 0.6534, 0.5503)
S (0.8628, 0.9728, 0.7258)
S (0.8788, 0.9626, 0.4089)
S (0.9071, 0.1399, 0.0055)
S (0.9216, 0.2543, 0.5905)
S (0.9377, 0.4513, 0.3568)
S (0.9626, 0.4089, 0.8788)
S (0.9728, 0.7258, 0.8628)

=====

No. 6
Below is a relaxed AlTcAs2Br crystal, with properties calculated at the GGA-PBEsol level.

Values from the calculation:
ΔE_f (raw)	421	meV/atom
calculated total energy	-5.07	eV per atom

Cell: 4.6809 4.6809 5.3928 Å, 90.00 90.00 90.00°
Atoms (fractional coordinates):
Al (0.0000, 0.0000, 0.0000)
Tc (0.5000, 0.5000, 0.5000)
As (0.0000, 0.5000, 0.5000)
As (0.5000, 0.0000, 0.5000)
Br (0.5000, 0.5000, 0.0000)

=====

No. 7
Below is a relaxed La2MgNi2H8 crystal, with properties calculated at the GGA-PBEsol level.

Values from the calculation:
calculated total energy	-4.41	eV per atom

Cell: 11.6683 7.6901 11.7103 Å, 90.00 93.75 90.00°
Atoms (fractional coordinates):
La (0.1016, 0.1703, 0.4132)
La (0.1016, 0.3297, 0.9132)
La (0.1643, 0.6782, 0.3468)
La (0.1643, 0.8218, 0.8468)
La (0.3326, 0.1606, 0.6846)
La (0.3326, 0.3394, 0.1846)
La (0.3948, 0.6587, 0.6136)
La (0.3948, 0.8413, 0.1136)
La (0.6052, 0.1587, 0.8864)
La (0.6052, 0.3413, 0.3864)
La (0.6674, 0.6606, 0.8154)
La (0.6674, 0.8394, 0.3154)
La (0.8357, 0.1782, 0.1532)
La (0.8357, 0.3218, 0.6532)
La (0.8984, 0.6703, 0.0868)
La (0.8984, 0.8297, 0.5868)
Mg (0.1107, 0.5010, 0.6220)
Mg (0.1107, 0.9990, 0.1220)
Mg (0.3985, 0.0020, 0.4102)
Mg (0.3985, 0.4980, 0.9102)
Mg (0.6015, 0.5020, 0.0898)
Mg (0.6015, 0.9980, 0.5898)
Mg (0.8893, 0.0010, 0.8780)
Mg (0.8893, 0.4990, 0.3780)
Ni (0.0725, 0.1323, 0.6808)
Ni (0.0725, 0.3677, 0.1808)
Ni (0.1731, 0.6449, 0.0838)
Ni (0.1731, 0.8551, 0.5838)
Ni (0.3606, 0.1491, 0.9622)
Ni (0.3606, 0.3509, 0.4622)
Ni (0.4521, 0.6496, 0.3629)
Ni (0.4521, 0.8504, 0.8629)
Ni (0.5479, 0.1496, 0.1371)
Ni (0.5479, 0.3504, 0.6371)
Ni (0.6394, 0.6491, 0.5378)
Ni (0.6394, 0.8509, 0.0378)
Ni (0.8269, 0.1449, 0.4162)
Ni (0.8269, 0.3551, 0.9162)
Ni (0.9275, 0.6323, 0.8192)
Ni (0.9275, 0.8677, 0.3192)
H (0.0336, 0.2204, 0.0977)
H (0.0336, 0.2796, 0.5977)
H (0.0480, 0.5736, 0.7741)
H (0.0480, 0.9264, 0.2741)
H (0.0704, 0.5047, 0.0779)
H (0.0704, 0.9953, 0.5779)
H (0.0714, 0.0377, 0.9403)
H (0.0714, 0.4623, 0.4403)
H (0.0873, 0.7180, 0.5369)
H (0.0873, 0.7820, 0.0369)
H (0.1640, 0.1237, 0.7826)
H (0.1640, 0.3763, 0.2826)
H (0.2367, 0.5762, 0.9739)
H (0.2367, 0.9238, 0.4739)
H (0.2493, 0.0119, 0.2452)
H (0.2493, 0.4881, 0.7452)
H (0.2600, 0.1053, 0.0449)
H (0.2600, 0.3947, 0.5449)
H (0.2675, 0.6369, 0.1830)
H (0.2675, 0.8631, 0.6830)
H (0.3108, 0.2147, 0.3746)
H (0.3108, 0.2853, 0.8746)
H (0.3490, 0.5136, 0.3761)
H (0.3490, 0.9864, 0.8761)
H (0.3651, 0.7073, 0.8205)
H (0.3651, 0.7927, 0.3205)
H (0.4335, 0.5441, 0.0751)
H (0.4335, 0.9559, 0.5751)
H (0.4664, 0.2425, 0.0357)
H (0.4664, 0.2575, 0.5357)
H (0.4739, 0.0896, 0.2416)
H (0.4739, 0.4104, 0.7416)
H (0.5261, 0.5896, 0.2584)
H (0.5261, 0.9104, 0.7584)
H (0.5336, 0.7425, 0.4643)
H (0.5336, 0.7575, 0.9643)
H (0.5665, 0.0441, 0.4249)
H (0.5665, 0.4559, 0.9249)
H (0.6349, 0.2073, 0.6795)
H (0.6349, 0.2927, 0.1795)
H (0.6510, 0.0136, 0.1239)
H (0.6510, 0.4864, 0.6239)
H (0.6892, 0.7147, 0.1254)
H (0.6892, 0.7853, 0.6254)
H (0.7325, 0.1369, 0.3170)
H (0.7325, 0.3631, 0.8170)
H (0.7400, 0.6053, 0.4551)
H (0.7400, 0.8947, 0.9551)
H (0.7507, 0.5119, 0.2548)
H (0.7507, 0.9881, 0.7548)
H (0.7633, 0.0762, 0.5261)
H (0.7633, 0.4238, 0.0261)
H (0.8360, 0.6237, 0.7174)
H (0.8360, 0.8763, 0.2174)
H (0.9127, 0.2180, 0.9631)
H (0.9127, 0.2820, 0.4631)
H (0.9286, 0.5377, 0.5597)
H (0.9286, 0.9623, 0.0597)
H (0.9296, 0.0047, 0.4221)
H (0.9296, 0.4953, 0.9221)
H (0.9520, 0.0736, 0.7259)
H (0.9520, 0.4264, 0.2259)
H (0.9664, 0.7204, 0.4023)
H (0.9664, 0.7796, 0.9023)

=====

No. 8
Below is a relaxed Ba2CuO3 crystal, with properties calculated at the GGA-PBEsol level.

Values from the calculation:
ΔE_f (raw)	-1967	meV/atom
calculated total energy	-6.03	eV per atom

Cell: 7.0646 7.0646 7.0646 Å, 148.82 146.27 46.59°
Atoms (fractional coordinates):
Ba (0.1456, 0.1456, 0.0000)
Ba (0.8544, 0.8544, 0.0000)
Cu (0.5000, 0.5000, 0.0000)
O (0.0000, 0.5000, 0.5000)
O (0.3527, 0.3527, 0.0000)
O (0.6473, 0.6473, 0.0000)